(1)
VASP calculation (PBE) on a relaxed structure of La3AlN.

Computed properties:
Calculated density (g/cm3): 5.8
Formation energy from raw total energies (eV/atom): -0.772

Geometry as CIF:
```
data_La3AlN
_symmetry_space_group_name_H-M 'P m -3 m'
_symmetry_Int_Tables_number 221
_symmetry_space_group_name_Hall '-P 4 2 3'
_cell_length_a 5.093
_cell_length_b 5.093
_cell_length_c 5.093
_cell_angle_alpha 90.00
_cell_angle_beta 90.00
_cell_angle_gamma 90.00
loop_
_atom_site_label
_atom_site_type_symbol
_atom_site_fract_x
_atom_site_fract_y
_atom_site_fract_z
La1 La 0.000 0.000 0.500
Al1 Al 0.500 0.500 0.500
N1 N 0.000 0.000 0.000
```



(2)
VASP calculation (PBE) on a relaxed structure of La2NbAlN.

Computed properties:
Calculated density (g/cm3): 6.0
Formation energy from raw total energies (eV/atom): -0.575

Geometry as CIF:
```
data_La2NbAlN
_symmetry_space_group_name_H-M 'P 4/m m m'
_symmetry_Int_Tables_number 123
_symmetry_space_group_name_Hall '-P 4 2'
_cell_length_a 5.210
_cell_length_b 5.210
_cell_length_c 4.189
_cell_angle_alpha 90.00
_cell_angle_beta 90.00
_cell_angle_gamma 90.00
loop_
_atom_site_label
_atom_site_type_symbol
_atom_site_fract_x
_atom_site_fract_y
_atom_site_fract_z
La1 La 0.000 0.500 0.000
Nb1 Nb 0.000 0.000 0.500
Al1 Al 0.500 0.500 0.500
N1 N 0.000 0.000 0.000
```